{
  "formula": "Na5Cd4Pb",
  "functional": "PBE-GGA",
  "state": "relaxed",
  "cell": [[2.642, 1.525, 11.018], [-2.642, 1.525, 11.018], [0.000, -3.051, 11.018]],
  "species": ["Na", "Na", "Na", "Na", "Na", "Cd", "Cd", "Cd", "Cd", "Pb"],
  "frac_coords": [[0.000, 0.000, 0.000], [0.097, 0.097, 0.097], [0.196, 0.196, 0.196], [0.605, 0.605, 0.605], [0.897, 0.897, 0.897], [0.297, 0.297, 0.297], [0.388, 0.388, 0.388], [0.708, 0.708, 0.708], [0.800, 0.800, 0.800], [0.489, 0.489, 0.489]],
  "ef_ev_per_atom": -0.088,
  "final_energy_ev_per_atom": -1.48,
  "spacegroup": "R3m"
}

---

{
  "formula": "Na5CdPb2",
  "functional": "PBE-GGA",
  "state": "relaxed",
  "cell": [[6.737, 0.000, 0.000], [0.000, 13.398, 0.000], [0.000, 0.000, 5.138]],
  "species": ["Na", "Na", "Na", "Na", "Na", "Na", "Na", "Na", "Na", "Na", "Cd", "Cd", "Pb", "Pb", "Pb", "Pb"],
  "frac_coords": [[0.000, 0.000, 0.000], [0.070, 0.258, 0.000], [0.192, 0.871, 0.500], [0.308, 0.371, 0.500], [0.430, 0.758, 0.000], [0.500, 0.500, 0.000], [0.570, 0.242, 0.000], [0.692, 0.629, 0.500], [0.808, 0.129, 0.500], [0.930, 0.742, 0.000], [0.000, 0.500, 0.000], [0.500, 0.000, 0.000], [0.181, 0.610, 0.500], [0.319, 0.110, 0.500], [0.681, 0.890, 0.500], [0.819, 0.390, 0.500]],
  "ef_ev_per_atom": -0.089,
  "final_energy_ev_per_atom": -1.96,
  "spacegroup": "Pbam",
  "de_polymorph_mev_per_atom": 2
}

---

{
  "formula": "Na2CdPb5",
  "functional": "PBE-GGA",
  "state": "relaxed",
  "cell": [[6.672, 0.000, 0.000], [-3.173, 5.916, 0.000], [-1.694, -2.958, 5.923]],
  "species": ["Na", "Na", "Cd", "Pb", "Pb", "Pb", "Pb", "Pb"],
  "frac_coords": [[0.000, 0.000, 0.000], [0.091, 0.576, 0.669], [0.502, 0.499, 0.002], [0.094, 0.583, 0.172], [0.500, 0.496, 0.500], [0.581, 0.090, 0.673], [0.585, 0.080, 0.172], [0.998, 0.996, 0.495]],
  "ef_ev_per_atom": -0.076,
  "final_energy_ev_per_atom": -2.84,
  "spacegroup": "P1"
}

---

{
  "formula": "Na3Cd2Pb5",
  "functional": "PBE-GGA",
  "state": "relaxed",
  "cell": [[-6.596, 7.455, 3.384], [6.596, -7.455, 3.384], [6.596, 7.455, -3.384]],
  "species": ["Na", "Na", "Na", "Na", "Na", "Na", "Cd", "Cd", "Cd", "Cd", "Pb", "Pb", "Pb", "Pb", "Pb", "Pb", "Pb", "Pb", "Pb", "Pb"],
  "frac_coords": [[0.241, 0.617, 0.858], [0.250, 0.250, 0.000], [0.259, 0.117, 0.376], [0.741, 0.883, 0.624], [0.750, 0.750, 0.000], [0.759, 0.383, 0.142], [0.149, 0.875, 0.024], [0.351, 0.375, 0.726], [0.649, 0.625, 0.274], [0.851, 0.125, 0.976], [0.151, 0.365, 0.516], [0.250, 0.009, 0.759], [0.250, 0.491, 0.241], [0.250, 0.750, 0.500], [0.349, 0.865, 0.214], [0.651, 0.135, 0.786], [0.750, 0.250, 0.500], [0.750, 0.509, 0.759], [0.750, 0.991, 0.241], [0.849, 0.635, 0.484]],
  "ef_ev_per_atom": 0.012,
  "final_energy_ev_per_atom": -2.42,
  "spacegroup": "Ibam"
}

---

{
  "formula": "Na4Cd2Pb",
  "functional": "PBE-GGA",
  "state": "relaxed",
  "cell": [[11.222, 0.000, 0.000], [0.000, 4.215, 0.000], [-1.199, 0.000, 8.159]],
  "species": ["Na", "Na", "Na", "Na", "Na", "Na", "Na", "Na", "Cd", "Cd", "Cd", "Cd", "Pb", "Pb"],
  "frac_coords": [[0.056, 0.000, 0.202], [0.217, 0.000, 0.652], [0.283, 0.500, 0.348], [0.444, 0.500, 0.798], [0.556, 0.500, 0.202], [0.717, 0.500, 0.652], [0.783, 0.000, 0.348], [0.944, 0.000, 0.798], [0.157, 0.500, 0.941], [0.343, 0.000, 0.059], [0.657, 0.000, 0.941], [0.843, 0.500, 0.059], [0.000, 0.500, 0.500], [0.500, 0.000, 0.500]],
  "ef_ev_per_atom": -0.098,
  "final_energy_ev_per_atom": -1.64,
  "spacegroup": "C2/m",
  "de_polymorph_mev_per_atom": 0
}

---

{
  "formula": "Na2Cd4Pb",
  "functional": "PBE-GGA",
  "state": "relaxed",
  "cell": [[5.817, 0.000, 0.000], [0.000, 5.817, 0.000], [0.000, 0.000, 16.050]],
  "species": ["Na", "Na", "Na", "Na", "Cd", "Cd", "Cd", "Cd", "Cd", "Cd", "Cd", "Cd", "Pb", "Pb"],
  "frac_coords": [[0.000, 0.000, 0.112], [0.000, 0.000, 0.888], [0.500, 0.500, 0.388], [0.500, 0.500, 0.612], [0.000, 0.000, 0.301], [0.000, 0.000, 0.699], [0.000, 0.500, 0.000], [0.000, 0.500, 0.500], [0.500, 0.000, 0.000], [0.500, 0.000, 0.500], [0.500, 0.500, 0.199], [0.500, 0.500, 0.801], [0.000, 0.000, 0.500], [0.500, 0.500, 0.000]],
  "ef_ev_per_atom": 0.238,
  "final_energy_ev_per_atom": -1.19,
  "spacegroup": "I4/mmm"
}

---

{
  "formula": "Na12CdPb2",
  "functional": "PBE-GGA",
  "state": "relaxed",
  "cell": [[6.710, 0.000, 0.000], [0.000, 6.710, 0.000], [0.000, 0.000, 23.657]],
  "species": ["Na", "Na", "Na", "Na", "Na", "Na", "Na", "Na", "Na", "Na", "Na", "Na", "Na", "Na", "Na", "Na", "Na", "Na", "Na", "Na", "Na", "Na", "Na", "Na", "Cd", "Cd", "Pb", "Pb", "Pb", "Pb"],
  "frac_coords": [[0.000, 0.000, 0.088], [0.000, 0.000, 0.912], [0.000, 0.500, 0.088], [0.000, 0.500, 0.912], [0.071, 0.571, 0.432], [0.071, 0.929, 0.568], [0.250, 0.250, 0.192], [0.250, 0.250, 0.318], [0.250, 0.250, 0.682], [0.250, 0.250, 0.808], [0.429, 0.571, 0.568], [0.429, 0.929, 0.432], [0.500, 0.000, 0.088], [0.500, 0.000, 0.912], [0.500, 0.500, 0.088], [0.500, 0.500, 0.912], [0.571, 0.071, 0.568], [0.571, 0.429, 0.432], [0.750, 0.750, 0.192], [0.750, 0.750, 0.318], [0.750, 0.750, 0.682], [0.750, 0.750, 0.808], [0.929, 0.071, 0.432], [0.929, 0.429, 0.568], [0.250, 0.750, 0.000], [0.750, 0.250, 0.000], [0.250, 0.750, 0.203], [0.250, 0.750, 0.797], [0.750, 0.250, 0.203], [0.750, 0.250, 0.797]],
  "ef_ev_per_atom": 0.072,
  "final_energy_ev_per_atom": -1.54,
  "spacegroup": "P4/nbm"
}

---

{
  "formula": "Na5Cd2Pb",
  "functional": "PBE-GGA",
  "state": "relaxed",
  "cell": [[5.504, 0.000, 0.000], [-2.752, 4.767, 0.000], [0.000, 0.000, 19.908]],
  "species": ["Na", "Na", "Na", "Na", "Na", "Na", "Na", "Na", "Na", "Na", "Cd", "Cd", "Cd", "Cd", "Pb", "Pb"],
  "frac_coords": [[0.000, 0.000, 0.163], [0.000, 0.000, 0.337], [0.000, 0.000, 0.663], [0.000, 0.000, 0.837], [0.333, 0.667, 0.054], [0.333, 0.667, 0.250], [0.333, 0.667, 0.446], [0.667, 0.333, 0.554], [0.667, 0.333, 0.750], [0.667, 0.333, 0.946], [0.333, 0.667, 0.604], [0.333, 0.667, 0.896], [0.667, 0.333, 0.104], [0.667, 0.333, 0.396], [0.333, 0.667, 0.750], [0.667, 0.333, 0.250]],
  "ef_ev_per_atom": -0.050,
  "final_energy_ev_per_atom": -1.57,
  "spacegroup": "P6_3/mmc"
}

---

{
  "formula": "Na4CdPb2",
  "functional": "PBE-GGA",
  "state": "relaxed",
  "cell": [[10.803, 0.000, 0.000], [0.000, 5.299, 0.000], [-3.019, 0.000, 7.534]],
  "species": ["Na", "Na", "Na", "Na", "Na", "Na", "Na", "Na", "Cd", "Cd", "Pb", "Pb", "Pb", "Pb"],
  "frac_coords": [[0.014, 0.000, 0.216], [0.236, 0.500, 0.332], [0.264, 0.000, 0.668], [0.486, 0.500, 0.784], [0.514, 0.500, 0.216], [0.736, 0.000, 0.332], [0.764, 0.500, 0.668], [0.986, 0.000, 0.784], [0.000, 0.500, 0.500], [0.500, 0.000, 0.500], [0.197, 0.500, 0.875], [0.303, 0.000, 0.125], [0.697, 0.000, 0.875], [0.803, 0.500, 0.125]],
  "ef_ev_per_atom": -0.099,
  "final_energy_ev_per_atom": -2.04,
  "spacegroup": "C2/m",
  "de_polymorph_mev_per_atom": 0
}

---

{
  "formula": "NaCd14Pb",
  "functional": "PBE-GGA",
  "state": "relaxed",
  "cell": [[6.504, 0.000, 0.000], [0.000, 6.504, 0.000], [0.000, 0.000, 8.917]],
  "species": ["Na", "Cd", "Cd", "Cd", "Cd", "Cd", "Cd", "Cd", "Cd", "Cd", "Cd", "Cd", "Cd", "Cd", "Cd", "Pb"],
  "frac_coords": [[0.000, 0.000, 0.000], [0.000, 0.000, 0.500], [0.000, 0.500, 0.000], [0.000, 0.500, 0.500], [0.245, 0.245, 0.261], [0.245, 0.245, 0.739], [0.245, 0.755, 0.261], [0.245, 0.755, 0.739], [0.500, 0.000, 0.000], [0.500, 0.000, 0.500], [0.500, 0.500, 0.500], [0.755, 0.245, 0.261], [0.755, 0.245, 0.739], [0.755, 0.755, 0.261], [0.755, 0.755, 0.739], [0.500, 0.500, 0.000]],
  "ef_ev_per_atom": 0.003,
  "final_energy_ev_per_atom": -1.11,
  "spacegroup": "P4/mmm"
}

---

{
  "formula": "Na8CdPb2",
  "functional": "PBE-GGA",
  "state": "relaxed",
  "cell": [[4.596, -7.167, 0.000], [4.596, 7.167, 0.000], [-2.289, 0.000, 5.538]],
  "species": ["Na", "Na", "Na", "Na", "Na", "Na", "Na", "Na", "Cd", "Pb", "Pb"],
  "frac_coords": [[0.079, 0.323, 0.610], [0.230, 0.770, 0.000], [0.323, 0.079, 0.610], [0.383, 0.383, 0.192], [0.617, 0.617, 0.808], [0.677, 0.921, 0.390], [0.770, 0.230, 0.000], [0.921, 0.677, 0.390], [0.000, 0.000, 0.000], [0.312, 0.688, 0.500], [0.688, 0.312, 0.500]],
  "ef_ev_per_atom": -0.041,
  "final_energy_ev_per_atom": -1.76,
  "spacegroup": "C2/m"
}

---

{
  "formula": "Na7Cd4Pb",
  "functional": "PBE-GGA",
  "state": "relaxed",
  "cell": [[4.676, -2.700, 0.000], [4.676, 2.700, 0.000], [-0.009, 0.000, 13.256]],
  "species": ["Na", "Na", "Na", "Na", "Na", "Na", "Na", "Cd", "Cd", "Cd", "Cd", "Pb"],
  "frac_coords": [[0.000, 0.000, 0.000], [0.000, 0.000, 0.255], [0.000, 0.000, 0.745], [0.333, 0.333, 0.634], [0.333, 0.333, 0.909], [0.667, 0.667, 0.091], [0.667, 0.667, 0.366], [0.334, 0.334, 0.167], [0.334, 0.334, 0.394], [0.666, 0.666, 0.606], [0.666, 0.666, 0.833], [0.000, 0.000, 0.500]],
  "ef_ev_per_atom": -0.074,
  "final_energy_ev_per_atom": -1.46,
  "spacegroup": "C2/m",
  "de_polymorph_mev_per_atom": 0
}

---

What did the twelfth record say?
{
  "formula": "Na7Cd4Pb",
  "functional": "PBE-GGA",
  "state": "relaxed",
  "cell": [[4.676, -2.700, 0.000], [4.676, 2.700, 0.000], [-0.009, 0.000, 13.256]],
  "species": ["Na", "Na", "Na", "Na", "Na", "Na", "Na", "Cd", "Cd", "Cd", "Cd", "Pb"],
  "frac_coords": [[0.000, 0.000, 0.000], [0.000, 0.000, 0.255], [0.000, 0.000, 0.745], [0.333, 0.333, 0.634], [0.333, 0.333, 0.909], [0.667, 0.667, 0.091], [0.667, 0.667, 0.366], [0.334, 0.334, 0.167], [0.334, 0.334, 0.394], [0.666, 0.666, 0.606], [0.666, 0.666, 0.833], [0.000, 0.000, 0.500]],
  "ef_ev_per_atom": -0.074,
  "final_energy_ev_per_atom": -1.46,
  "spacegroup": "C2/m",
  "de_polymorph_mev_per_atom": 0
}

---

Copy entry 8 word for word.
{
  "formula": "Na5Cd2Pb",
  "functional": "PBE-GGA",
  "state": "relaxed",
  "cell": [[5.504, 0.000, 0.000], [-2.752, 4.767, 0.000], [0.000, 0.000, 19.908]],
  "species": ["Na", "Na", "Na", "Na", "Na", "Na", "Na", "Na", "Na", "Na", "Cd", "Cd", "Cd", "Cd", "Pb", "Pb"],
  "frac_coords": [[0.000, 0.000, 0.163], [0.000, 0.000, 0.337], [0.000, 0.000, 0.663], [0.000, 0.000, 0.837], [0.333, 0.667, 0.054], [0.333, 0.667, 0.250], [0.333, 0.667, 0.446], [0.667, 0.333, 0.554], [0.667, 0.333, 0.750], [0.667, 0.333, 0.946], [0.333, 0.667, 0.604], [0.333, 0.667, 0.896], [0.667, 0.333, 0.104], [0.667, 0.333, 0.396], [0.333, 0.667, 0.750], [0.667, 0.333, 0.250]],
  "ef_ev_per_atom": -0.050,
  "final_energy_ev_per_atom": -1.57,
  "spacegroup": "P6_3/mmc"
}

---

Please write out number 8 again, unchanged.
{
  "formula": "Na5Cd2Pb",
  "functional": "PBE-GGA",
  "state": "relaxed",
  "cell": [[5.504, 0.000, 0.000], [-2.752, 4.767, 0.000], [0.000, 0.000, 19.908]],
  "species": ["Na", "Na", "Na", "Na", "Na", "Na", "Na", "Na", "Na", "Na", "Cd", "Cd", "Cd", "Cd", "Pb", "Pb"],
  "frac_coords": [[0.000, 0.000, 0.163], [0.000, 0.000, 0.337], [0.000, 0.000, 0.663], [0.000, 0.000, 0.837], [0.333, 0.667, 0.054], [0.333, 0.667, 0.250], [0.333, 0.667, 0.446], [0.667, 0.333, 0.554], [0.667, 0.333, 0.750], [0.667, 0.333, 0.946], [0.333, 0.667, 0.604], [0.333, 0.667, 0.896], [0.667, 0.333, 0.104], [0.667, 0.333, 0.396], [0.333, 0.667, 0.750], [0.667, 0.333, 0.250]],
  "ef_ev_per_atom": -0.050,
  "final_energy_ev_per_atom": -1.57,
  "spacegroup": "P6_3/mmc"
}